Entry 1:
Rb2MgAs2O6 | PBE | relaxed

a b c (Å): 5.8999 5.8999 17.6453
angles (deg): 90.00 90.00 120.00
Space group R-3m (No. 166, hexagonal axes)
One atom of each set of equivalent atoms:
Rb 0.0000 0.0000 0.2229 (multiplicity 6)
Mg 0.0000 0.0000 0.0000 (multiplicity 3)
As 0.0000 0.0000 0.4294 (multiplicity 6)
O 0.0082 0.5041 0.2618 (multiplicity 18)

Properties
DFT total energy (eV per atom): -5.551
Formation energy from raw total energies (eV/atom): -1.68



Entry 2:
Ac3Sn2Pt | PBE | relaxed

a b c (Å): 13.153 4.790 12.829
angles (deg): 90.00 90.00 90.00
Space group Pnma (No. 62)
One atom of each set of equivalent atoms:
Ac 0.057 0.250 0.126 (multiplicity 4)
Ac 0.115 0.750 0.550 (multiplicity 4)
Ac 0.229 0.250 0.801 (multiplicity 4)
Sn 0.011 0.750 0.306 (multiplicity 4)
Sn 0.196 0.750 0.998 (multiplicity 4)
Pt 0.123 0.250 0.368 (multiplicity 4)

Properties
DFT total energy (eV per atom): -5.241